1.
4
Lattice="-2.499 -2.024 1.081 0.727 -3.057 1.280 0.111 2.222 9.739" Properties=species:S:1:pos:R:3 comment="PBE ScIn2Hg, optimized geometry" sg="R3m, No. 160" e_form_ev_per_atom=-0.081 pbc="T T T"
Sc -1.180 -3.383 1.585
In -0.416 -0.722 3.009
In -0.064 1.245 7.506
Hg -0.830 -1.430 6.050

=====

2.
12
Lattice="-7.792 -4.140 1.069 1.907 -2.906 2.651 3.162 8.787 7.357" Properties=species:S:1:pos:R:3 comment="PBE GaGeI, optimized geometry" raw_formation_energy_ev_per_atom=-0.11 de_polymorph_mev_per_atom=134 sg="Cm, No. 8" pbc="T T T"
Ge -1.576 4.578 6.153
Ge -0.163 6.444 7.181
I -3.745 0.891 7.276
I -0.090 -1.482 2.045
Ga -1.282 2.116 6.847
Ga -3.817 -0.825 1.843
Ga 1.892 5.230 7.976
Ga -0.643 2.289 2.972
Ge -0.791 0.597 4.828
I 0.537 4.365 4.398
I -6.279 -2.050 2.272
Ge -2.203 -1.268 3.799

=====

3.
19
Lattice="7.409 0.000 -2.619 -3.704 6.416 -2.619 0.000 0.000 7.858" Properties=species:S:1:pos:R:3 comment="PBE Zr12Fe6Bi, optimized geometry" sg="Im-3, No. 204" e_form_ev_per_atom=-0.093 pbc="T T T"
Zr 1.856 5.805 -2.625
Fe 0.954 3.208 4.603
Zr 0.755 5.121 2.120
Fe 0.449 5.638 -0.635
Zr -2.251 5.121 -0.005
Zr -1.108 4.510 4.740
Zr 3.351 3.215 3.119
Zr 0.353 3.202 -0.499
Zr 1.849 0.611 5.244
Fe 5.107 2.430 0.635
Fe -1.403 3.986 1.984
Fe 2.751 3.208 -1.984
Zr 4.813 1.907 -2.120
Fe 3.255 0.778 3.255
Zr 2.949 1.295 0.499
Zr 0.395 1.907 2.614
Zr 3.310 4.510 0.005
Zr 5.955 1.295 2.625
Bi 0.000 0.000 0.000

=====

4.
5
Lattice="-0.440 -3.112 -0.535 3.115 -0.370 -0.571 1.870 -2.282 10.585" Properties=species:S:1:pos:R:3 comment="PBE SnAsHOsBr, optimized geometry" de_polymorph_mev_per_atom=162 sg="P1, No. 1" pbc="T T T"
Os 3.028 -2.780 5.155
As 1.449 -4.392 6.411
Br 2.040 -1.610 -0.627
H 1.405 -0.705 0.290
Sn 0.937 -3.765 3.244

=====

5.
5
Lattice="5.079 0.000 0.000 0.000 6.218 0.000 0.000 0.000 5.079" Properties=species:S:1:pos:R:3 comment="PBE CsHfSc2Se, optimized geometry" raw_formation_energy_ev_per_atom=0.50 sg="P4/mmm, No. 123" pbc="T T T"
Cs 0.000 3.109 0.000
Hf 2.539 3.109 2.539
Sc 0.000 0.000 2.539
Sc 2.539 0.000 0.000
Se 0.000 0.000 0.000

=====

6.
5
Lattice="4.325 0.000 0.000 0.000 5.322 0.000 0.000 0.000 4.325" Properties=species:S:1:pos:R:3 comment="PBE Sc2TlCdO, optimized geometry" raw_formation_energy_ev_per_atom=-1.03 sg="P4/mmm, No. 123" pbc="T T T"
O 0.000 0.000 0.000
Sc 0.000 0.000 2.163
Sc 2.163 0.000 0.000
Cd 2.163 2.661 2.163
Tl 0.000 2.661 0.000

=====

| no. | total magnetic moment (μB per formula unit) |
| --- | --- |
| 1 | 0.0 |
| 2 | 0.0 |
| 3 | 0.0 |
| 4 | 0.0 |
| 5 | 0.0 |
| 6 | 0.0 |